The following is a DFT calculation (PBE) of a relaxed La6SiOs2I3 crystal.

Geometry as POSCAR:
```
La6SiOs2I3
1.0
-4.744 3.411 -4.682
-0.623 -7.357 1.247
-3.227 2.813 7.351
Os La Si I
2 6 1 3
Direct
0.667 0.333 0.000
0.333 0.667 0.000
0.941 0.588 0.811
0.710 0.710 0.187
0.412 0.059 0.189
0.290 0.290 0.813
0.059 0.412 0.189
0.588 0.941 0.811
0.000 0.000 0.000
0.838 0.162 0.500
0.162 0.838 0.500
0.500 0.500 0.500
```

SG = C2/m (12)
size of the total moment = 0.00 μB per atom
energy relative to the elements, uncorrected = -9.558 eV per formula unit
calculated total energy = -5.971 eV per atom
D(E_F) = 0.8885 states/eV per atom


The following is a DFT calculation (PBE) of a relaxed BaTb2IrO5 crystal.

Geometry as POSCAR:
```
BaTb2IrO5
1.0
-1.759 3.364 -1.522
-1.290 -2.868 -4.848
-3.374 -1.803 5.409
O Ir Ba Tb
5 1 1 2
Direct
0.645 0.380 0.291
0.355 0.089 0.709
0.355 0.620 0.709
0.645 0.911 0.291
0.000 0.000 0.000
0.500 0.000 0.000
0.000 0.500 0.000
0.792 0.792 0.584
0.208 0.208 0.416
```

SG = Immm (71)
size of the total moment = 0.00 μB per atom
energy relative to the elements, uncorrected = -21.076 eV per formula unit
calculated total energy = -7.324 eV per atom
D(E_F) = 0.3099 states/eV per atom


The following is a DFT calculation (PBE) of a relaxed NdLuPd crystal.

Geometry as POSCAR:
```
NdLuPd
1.0
-2.743 0.386 -2.236
1.397 -2.478 -2.140
-2.411 -3.309 5.219
Pd Nd Lu
1 1 1
Direct
0.682 0.682 0.365
0.020 0.020 0.040
0.298 0.298 0.596
```

SG = I4mm (107)
size of the total moment = 0.00 μB per atom
energy of formation from the pure elements = -0.544 eV per atom
calculated total energy = -5.371 eV per atom
D(E_F) = 0.9254 states/eV per atom
energy above the most stable polymorph in this dataset = 0.000 eV/atom


The following is a DFT calculation (PBE) of a relaxed CuPbAu4 crystal.

Geometry as POSCAR:
```
CuPbAu4
1.0
0.000 3.952 3.952
3.952 0.000 3.952
3.952 3.952 0.000
Au Pb Cu
4 1 1
Direct
0.873 0.376 0.376
0.376 0.873 0.376
0.376 0.376 0.376
0.376 0.376 0.873
0.000 0.000 0.000
0.750 0.750 0.750
```

SG = F-43m (216)
size of the total moment = 0.00 μB per atom
energy of formation from the pure elements = 0.146 eV per atom
calculated total energy = -3.340 eV per atom
D(E_F) = 0.3525 states/eV per atom


The following is a DFT calculation (PBE) of a relaxed LaTl2Ge crystal.

Geometry as POSCAR:
```
LaTl2Ge
1.0
-2.305 -2.770 -7.800
-3.080 -7.228 3.477
-5.517 -3.628 -1.814
Tl La Ge
4 2 2
Direct
0.168 0.625 0.250
0.375 0.418 0.750
0.875 0.832 0.750
0.582 0.125 0.250
0.000 0.000 0.000
0.750 0.250 0.500
0.500 0.500 0.000
0.250 0.750 0.500
```

SG = I-42d (122)
size of the total moment = 0.00 μB per atom
energy of formation from the pure elements = -0.218 eV per atom
calculated total energy = -3.787 eV per atom
D(E_F) = 0.7482 states/eV per atom
energy above the most stable polymorph in this dataset = 0.144 eV/atom


The following is a DFT calculation (PBE) of a relaxed Tm2Tl3CdSe6 crystal.

Geometry as POSCAR:
```
Tm2Tl3CdSe6
1.0
7.207 -0.007 -0.001
-3.608 6.239 -0.001
-1.202 -2.081 7.492
Se Cd Tl Tm
6 1 3 2
Direct
0.591 0.930 0.791
0.269 0.269 0.792
0.409 0.070 0.209
0.731 0.731 0.208
0.930 0.591 0.791
0.070 0.409 0.209
0.000 0.000 0.000
0.500 0.500 0.500
0.833 0.167 0.500
0.167 0.833 0.500
0.333 0.667 0.000
0.667 0.333 0.000
```

SG = C2/m (12)
size of the total moment = 0.00 μB per atom
energy relative to the elements, uncorrected = -12.154 eV per formula unit
calculated total energy = -4.168 eV per atom
D(E_F) = 0.4188 states/eV per atom


The following is a DFT calculation (PBE) of a relaxed Tb3CePr crystal.

Geometry as POSCAR:
```
Tb3CePr
1.0
6.110 -0.644 -1.029
-3.277 7.206 -5.210
-0.719 -1.609 9.311
Tb Pr Ce
6 2 2
Direct
0.347 0.697 0.248
0.653 0.303 0.752
0.257 0.498 0.752
0.149 0.296 0.246
0.743 0.502 0.248
0.851 0.704 0.754
0.450 0.902 0.748
0.550 0.098 0.252
0.049 0.096 0.741
0.951 0.904 0.259
```

SG = P-1 (2)
size of the total moment = 0.24 μB per atom
energy of formation from the pure elements = 0.067 eV per atom
calculated total energy = -4.854 eV per atom
D(E_F) = 2.1536 states/eV per atom


The following is a DFT calculation (PBE) of a relaxed CsSrCa3 crystal.

Geometry as POSCAR:
```
CsSrCa3
1.0
-6.656 -2.194 0.685
2.133 -5.113 4.347
-0.858 4.316 5.497
Ca Sr Cs
3 1 1
Direct
0.000 0.500 0.000
0.000 0.000 0.500
0.500 0.000 0.000
0.000 0.000 0.000
0.500 0.500 0.500
```

SG = Pm-3m (221)
size of the total moment = 0.35 μB per atom
energy of formation from the pure elements = 0.622 eV per atom
calculated total energy = -1.086 eV per atom
D(E_F) = 2.9327 states/eV per atom
energy above the most stable polymorph in this dataset = 0.000 eV/atom